This record from Alexandria via LeMat-Bulk describes La6CoAg2O after structural relaxation. The functional is GGA+U.

Structure (POSCAR):
```
La6CoAg2O
1.0
6.9247 0.0000 0.0000
0.0000 7.5680 0.0000
-6.9025 0.0000 10.5687
La Co Ag O
12 2 4 2
direct
0.1272 0.2075 0.4492
0.1272 0.2925 0.9492
0.2664 0.6954 0.4514
0.2664 0.8046 0.9514
0.3562 0.0233 0.2401
0.3562 0.4767 0.7401
0.6438 0.5233 0.2599
0.6438 0.9767 0.7599
0.7336 0.1954 0.0486
0.7336 0.3046 0.5486
0.8728 0.7075 0.0508
0.8728 0.7925 0.5508
0.5000 0.0000 0.5000
0.5000 0.5000 0.0000
0.1883 0.0861 0.7438
0.1883 0.4139 0.2438
0.8117 0.5861 0.7562
0.8117 0.9139 0.2562
0.0000 0.0000 0.0000
0.0000 0.5000 0.5000
```

* total DFT energy (no corrections): -101.89 eV for the cell shown
* crystal system: monoclinic